Crystalline CePuGePt at its relaxed geometry. Source: Alexandria via LeMat-Bulk, functional PBE-GGA.

a b c (Å): 4.1962 4.1962 10.6896
angles (deg): 90.00 90.00 90.00
Last column: nearest neighbours and their distance in Å.
Atoms (fractional coordinates):
Ce (0.2500, 0.2500, 0.2113)  1 Ge 2.86, 4 Pt 3.09
Ce (0.7500, 0.7500, 0.7887)  1 Ge 2.86, 4 Pt 3.09
Pu (0.2500, 0.7500, 0.5000)  4 Pu 2.97, 4 Pt 3.06
Pu (0.7500, 0.2500, 0.5000)  4 Pu 2.97, 4 Pt 3.06
Ge (0.2500, 0.2500, 0.9434)  1 Pt 2.52
Ge (0.7500, 0.7500, 0.0566)  1 Pt 2.52
Pt (0.2500, 0.2500, 0.7080)  1 Ge 2.52
Pt (0.7500, 0.7500, 0.2920)  1 Ge 2.52

**DFT total energy**: -8.29 eV/atom
**E above lowest polymorph**: 0.0907 eV per atom
**Space group**: P4/nmm
**M_tot**: 6.54 μB/f.u.
**Calculated formation energy**: -0.555 eV per atom